Nd6Co2Cl3O, relaxed, DFT GGA+U; crystal system = monoclinic; D(E_F) = 7.88 states/eV/cell; volume = 23.9 A^3/atom; symmetry = C2/m; uncorrected energy = -61.850 eV for the cell shown
1.0
9.468 -1.896 0.000
9.468 1.896 0.000
-3.161 0.000 7.988
Nd Co Cl O
6 2 3 1
Direct
0.007 0.007 0.205
0.324 0.324 0.450
0.352 0.352 0.903
0.648 0.648 0.097
0.676 0.676 0.550
0.993 0.993 0.795
0.159 0.159 0.319
0.841 0.841 0.681
0.174 0.174 0.833
0.500 0.500 0.500
0.826 0.826 0.167
0.500 0.500 0.000